The following is a GGA+U calculation of a relaxed structure of PaBeNi2O6, from the Alexandria database.

a = 5.5180 Å, b = 5.5180 Å, c = 4.4169 Å
α = 90.00°, β = 90.00°, γ = 90.00°
With the nearest neighbours (Å) after each atom.
Space group P4mm (No. 99)
Symmetry-distinct sites (fractional):
Pa (0.0000, 0.0000, 0.0000) (multiplicity 1)  5 O 2.06-2.18
Be (0.5000, 0.5000, 0.0161) (multiplicity 1)  1 O 1.59
Ni (0.0000, 0.5000, 0.2531) (multiplicity 2)  4 O 2.05
O (0.0000, 0.0000, 0.5339) (multiplicity 1)  1 Pa 2.06
O (0.2720, 0.2720, 0.1175) (multiplicity 4)  1 Be 1.84, 2 Ni 2.05
O (0.5000, 0.5000, 0.6564) (multiplicity 1)  1 Be 1.59

DOS at the Fermi energy	0.417	states/eV/atom
uncorrected energy	-64.15	eV per cell
calculated density	5.60	Mg/m³


The following is a GGA+U calculation of a relaxed structure of Pa2BeNiO8, from the Alexandria database.

a = 6.1863 Å, b = 6.1863 Å, c = 4.4548 Å
α = 90.00°, β = 90.00°, γ = 120.00°
With the nearest neighbours (Å) after each atom.
Space group P-3m1 (No. 164)
Symmetry-distinct sites (fractional):
Pa (0.3333, 0.6667, 0.2527) (multiplicity 2)  5 O 2.11-2.31
Be (0.0000, 0.0000, 0.0000) (multiplicity 1)  6 O 1.83
Ni (0.0000, 0.0000, 0.5000) (multiplicity 1)  6 O 1.85
O (0.1364, 0.2729, 0.2459) (multiplicity 6)  1 Be 1.83, 1 Ni 1.85
O (0.3333, 0.6667, 0.7332) (multiplicity 2)  2 Pa 2.14-2.31

uncorrected energy	-92.26	eV per cell
calculated density	7.40	Mg/m³


The following is a GGA+U calculation of a relaxed structure of Be2Ni2PbO6, from the Alexandria database.

a = 5.1207 Å, b = 5.1207 Å, c = 5.1708 Å
α = 90.00°, β = 90.00°, γ = 120.00°
With the nearest neighbours (Å) after each atom.
Space group P-3 (No. 147)
Symmetry-distinct sites (fractional):
Be (0.3333, 0.6667, 0.3431) (multiplicity 2)  3 O 1.57
Ni (0.3333, 0.6667, 0.9076) (multiplicity 2)  3 O 1.99
Pb (0.0000, 0.0000, 0.5000) (multiplicity 1)  6 O 2.22
O (0.0357, 0.6595, 0.2608) (multiplicity 6)  1 Be 1.57

uncorrected energy	-61.26	eV per cell
calculated density	6.20	Mg/m³


no.,calculated volume (Å³/atom)
1,13.4
2,12.3
3,10.7